[1]
## VBiPbO4 (PBE+U)

Data for a relaxed VBiPbO4 crystal.

```
14
Lattice="6.393 0.000 0.000 0.000 5.449 0.000 -2.584 0.000 7.347" Properties=species:S:1:pos:R:3 pbc="T T T"
V 5.880 1.362 1.452
V -2.071 4.087 5.895
Bi 0.885 1.362 6.429
Bi 2.923 4.087 0.919
Pb 0.131 4.087 3.402
Pb 3.678 1.362 3.945
O -1.200 2.742 5.116
O -1.200 5.432 5.116
O 0.747 4.087 0.300
O 1.080 1.362 2.022
O 2.729 4.087 5.326
O 3.062 1.362 7.048
O 5.009 0.018 2.231
O 5.009 2.707 2.231
```

Properties
D(E_F) (states/eV per cell): 0.025
Electronic total energy (eV per atom): -6.33
Calculated volume (Å³/atom): 18.28

[2]
## PaCrPbO6 (PBE+U)

Data for a relaxed PaCrPbO6 crystal.

```
9
Lattice="5.362 0.000 0.000 -2.681 4.644 0.000 0.000 0.000 4.832" Properties=species:S:1:pos:R:3 pbc="T T T"
Pa 0.000 0.000 0.000
Cr 2.681 1.548 2.416
Pb 0.000 3.096 2.416
O 1.807 0.107 3.564
O 0.996 1.511 1.268
O 3.555 0.107 1.268
O 1.870 3.025 3.564
O 4.366 1.511 3.564
O 3.492 3.025 1.268
```

Properties
D(E_F) (states/eV per cell): 0.000
Electronic total energy (eV per atom): -7.78
Calculated volume (Å³/atom): 13.37